Here is crystalline NaBeAsBr2 at its relaxed geometry from Alexandria. Energies are from PBE.

Computed properties:
The formation energy without anion corrections is 0.7033 eV/atom. The distance to the lowest polymorph of the same formula is 1001 meV/atom. The energy is -1.90 eV/atom.

a b c (Å): 5.338 5.338 5.679
angles (deg): 90.00 90.00 90.00
Site moments in Bohr magnetons follow the coordinates.
Element x y z (fractional)
Br  0.000  0.500  0.000  0.12
Be  0.500  0.500  0.500  -0.18
Na  0.000  0.000  0.000  0.01
As  0.000  0.000  0.500  1.00
Br  0.500  0.000  0.000  0.12